DFT (PBE) results for a relaxed CaCdSi2 crystal.

CIF file:
```
data_CaCdSi2
_chemical_formula_sum 'Ca3 Cd3 Si6'
_space_group_name_H-M_alt 'R -3 m'
_space_group_IT_number 166
_space_group_name_Hall '-R 3 2"'
_cell_length_a 3.5535
_cell_length_b 3.5535
_cell_length_c 25.2766
_cell_angle_alpha 90.00
_cell_angle_beta 90.00
_cell_angle_gamma 120.00
loop_
_atom_site_label
_atom_site_fract_x
_atom_site_fract_y
_atom_site_fract_z
Ca1 0.0000 0.0000 0.0000
Cd1 0.0000 0.0000 0.5000
Si1 0.0000 0.0000 0.2427
```

Formation energy (no corrections), eV per atom: 0.2954


DFT (PBE) results for a relaxed Tc6Pt16Rh7 crystal.

CIF file:
```
data_Tc6Pt16Rh7
_chemical_formula_sum 'Tc24 Pt64 Rh28'
_space_group_name_H-M_alt 'F m -3 m'
_space_group_IT_number 225
_space_group_name_Hall '-F 4 2 3'
_cell_length_a 12.3983
_cell_length_b 12.3983
_cell_length_c 12.3983
_cell_angle_alpha 90.00
_cell_angle_beta 90.00
_cell_angle_gamma 90.00
loop_
_atom_site_label
_atom_site_fract_x
_atom_site_fract_y
_atom_site_fract_z
Tc1 0.0000 0.0000 0.1474
Pt1 0.1203 0.1203 0.3797
Pt2 0.1563 0.1563 0.1563
Rh1 0.0000 0.0000 0.5000
Rh2 0.0000 0.2500 0.2500
```

Energy of formation, eV/atom: 0.225


DFT (PBE) results for a relaxed SrAlSb2 crystal.

CIF file:
```
data_SrAlSb2
_chemical_formula_sum 'Sr4 Al4 Sb8'
_space_group_name_H-M_alt 'F -4 3 m'
_space_group_IT_number 216
_space_group_name_Hall 'F -4 2 3'
_cell_length_a 7.7327
_cell_length_b 7.7327
_cell_length_c 7.7327
_cell_angle_alpha 90.00
_cell_angle_beta 90.00
_cell_angle_gamma 90.00
loop_
_atom_site_label
_atom_site_fract_x
_atom_site_fract_y
_atom_site_fract_z
Sr1 0.0000 0.0000 0.0000
Al1 0.2500 0.2500 0.7500
Sb1 0.0000 0.0000 0.5000
Sb2 0.2500 0.2500 0.2500
```

Formation energy (no corrections), eV per atom: -0.0698


DFT (PBE) results for a relaxed Pm2TcB10 crystal.

CIF file:
```
data_Pm2TcB10
_chemical_formula_sum 'Pm4 Tc2 B20'
_space_group_name_H-M_alt 'P b a m'
_space_group_IT_number 55
_cell_length_a 5.7802
_cell_length_b 11.5170
_cell_length_c 4.2006
_cell_angle_alpha 90.00
_cell_angle_beta 90.00
_cell_angle_gamma 90.00
loop_
_space_group_symop_operation_xyz
'x,y,z'
'-x,-y,-z'
'-x,-y,z'
'x,y,-z'
'x+1/2,-y+1/2,-z'
'-x+1/2,y+1/2,z'
'-x+1/2,y+1/2,-z'
'x+1/2,-y+1/2,z'
loop_
_atom_site_label
_atom_site_fract_x
_atom_site_fract_y
_atom_site_fract_z
Pm1 0.2188 0.1332 0.0000
Tc1 0.0000 0.5000 0.5000
B1 0.0626 0.3072 0.5000
B2 0.1194 0.9581 0.5000
B3 0.1298 0.8024 0.5000
B4 0.2257 0.3812 0.2005
```

Energy of formation, eV/atom: -0.431


DFT (PBE) results for a relaxed CaBiAs2Pd5 crystal.

CIF file:
```
data_CaBiAs2Pd5
_chemical_formula_sum 'Ca1 Bi1 As2 Pd5'
_space_group_name_H-M_alt 'P 4/m m m'
_space_group_IT_number 123
_space_group_name_Hall '-P 4 2'
_cell_length_a 4.7623
_cell_length_b 4.7623
_cell_length_c 7.6122
_cell_angle_alpha 90.00
_cell_angle_beta 90.00
_cell_angle_gamma 90.00
loop_
_atom_site_label
_atom_site_fract_x
_atom_site_fract_y
_atom_site_fract_z
Ca1 0.0000 0.0000 0.0000
Bi1 0.0000 0.0000 0.5000
As1 0.5000 0.5000 0.3313
Pd1 0.0000 0.5000 0.2434
Pd2 0.5000 0.5000 0.0000
```

Energy of formation, eV/atom: -0.445


DFT (PBE) results for a relaxed Rb2LiPa2O7 crystal.

CIF file:
```
data_Rb2LiPa2O7
_chemical_formula_sum 'Rb4 Li2 Pa4 O14'
_space_group_name_H-M_alt 'I 4/m m m'
_space_group_IT_number 139
_space_group_name_Hall '-I 4 2'
_cell_length_a 4.3854
_cell_length_b 4.3854
_cell_length_c 22.9408
_cell_angle_alpha 90.00
_cell_angle_beta 90.00
_cell_angle_gamma 90.00
loop_
_atom_site_label
_atom_site_fract_x
_atom_site_fract_y
_atom_site_fract_z
Rb1 0.0000 0.0000 0.1913
Li1 0.0000 0.0000 0.0000
Pa1 0.0000 0.0000 0.4067
O1 0.0000 0.0000 0.3177
O2 0.0000 0.0000 0.5000
O3 0.0000 0.5000 0.0890
```

Formation energy (no corrections), eV per atom: -2.6596


DFT (PBE) results for a relaxed Y6Pb7 crystal.

CIF file:
```
data_Y6Pb7
_chemical_formula_sum 'Y18 Pb21'
_space_group_name_H-M_alt 'R -3 m'
_space_group_IT_number 166
_space_group_name_Hall '-R 3 2"'
_cell_length_a 6.5398
_cell_length_b 6.5398
_cell_length_c 31.8044
_cell_angle_alpha 90.00
_cell_angle_beta 90.00
_cell_angle_gamma 120.00
loop_
_atom_site_label
_atom_site_fract_x
_atom_site_fract_y
_atom_site_fract_z
Y1 0.0000 0.0000 0.0498
Y2 0.0000 0.0000 0.1579
Y3 0.0000 0.0000 0.3355
Pb1 0.0000 0.0000 0.5000
Pb2 0.0063 0.5032 0.9138
```

Energy of formation, eV/atom: -0.193


DFT (PBE) results for a relaxed Te2SeBr crystal.

CIF file:
```
data_Te2SeBr
_chemical_formula_sum 'Te8 Se4 Br4'
_space_group_name_H-M_alt 'I -4 2 d'
_space_group_IT_number 122
_space_group_name_Hall 'I -4 2bw'
_cell_length_a 7.9354
_cell_length_b 7.9354
_cell_length_c 8.2088
_cell_angle_alpha 90.00
_cell_angle_beta 90.00
_cell_angle_gamma 90.00
loop_
_atom_site_label
_atom_site_fract_x
_atom_site_fract_y
_atom_site_fract_z
Te1 0.2119 0.2500 0.1250
Se1 0.0000 0.0000 0.0000
Br1 0.0000 0.0000 0.5000
```

Formation energy (no corrections), eV per atom: 0.2351
Relative energy among the computed polymorphs, eV/atom: 0.2958


| no. | raw total energy (eV for the cell shown) |
| --- | --- |
| 1 | -37.74 |
| 2 | -815.16 |
| 3 | -55.79 |
| 4 | -184.48 |
| 5 | -45.15 |
| 6 | -178.93 |
| 7 | -201.75 |
| 8 | -42.00 |